(i)
Compound: GeOs3Ru
Source: Alexandria
Functional: GGA-PBE
Structure: relaxed

```
data_GeOs3Ru
_chemical_formula_sum 'Ge1 Os3 Ru1'
_cell_length_a 4.694
_cell_length_b 4.694
_cell_length_c 4.694
_cell_angle_alpha 90.00
_cell_angle_beta 90.00
_cell_angle_gamma 90.00
_symmetry_space_group_name_H-M 'P m -3 m'
_symmetry_Int_Tables_number 221
_symmetry_space_group_name_Hall '-P 4 2 3'
loop_
_atom_site_label
_atom_site_fract_x
_atom_site_fract_y
_atom_site_fract_z
Ge1 0.000 0.000 0.000
Os1 0.000 0.500 0.500
Ru1 0.500 0.500 0.500
```

Summary:
- density (g/cm3) = 11.96
- total magnetization (μB/f.u.) = 0.000

---

(ii)
Compound: GeOs3Ru
Source: Alexandria
Functional: GGA-PBE
Structure: relaxed

```
data_GeOs3Ru
_chemical_formula_sum 'Ge1 Os3 Ru1'
_cell_length_a 4.458
_cell_length_b 4.458
_cell_length_c 4.458
_cell_angle_alpha 90.00
_cell_angle_beta 90.00
_cell_angle_gamma 90.00
_symmetry_space_group_name_H-M 'P m -3 m'
_symmetry_Int_Tables_number 221
_symmetry_space_group_name_Hall '-P 4 2 3'
loop_
_atom_site_label
_atom_site_fract_x
_atom_site_fract_y
_atom_site_fract_z
Ge1 0.000 0.000 0.000
Os1 0.000 0.000 0.500
Ru1 0.500 0.500 0.500
```

Summary:
- density (g/cm3) = 13.95
- total magnetization (μB/f.u.) = 1.560

---

Of them, the most stable is (ii) and the least stable is (i).

---

(i)
Compound: GeOs2S
Source: Alexandria
Functional: GGA-PBE
Structure: relaxed

```
data_GeOs2S
_chemical_formula_sum 'Ge4 Os8 S4'
_cell_length_a 5.445
_cell_length_b 5.445
_cell_length_c 10.357
_cell_angle_alpha 90.00
_cell_angle_beta 90.00
_cell_angle_gamma 90.00
_symmetry_space_group_name_H-M 'I -4 2 d'
_symmetry_Int_Tables_number 122
_symmetry_space_group_name_Hall 'I -4 2bw'
loop_
_atom_site_label
_atom_site_fract_x
_atom_site_fract_y
_atom_site_fract_z
Ge1 0.000 0.000 0.000
Os1 0.218 0.250 0.625
S1 0.000 0.000 0.500
```

Summary:
- density (g/cm3) = 10.50
- total magnetization (μB/f.u.) = 0.000

---

(ii)
Compound: GeOs2S
Source: Alexandria
Functional: GGA-PBE
Structure: relaxed

```
data_GeOs2S
_chemical_formula_sum 'Ge4 Os8 S4'
_cell_length_a 6.077
_cell_length_b 6.077
_cell_length_c 6.077
_cell_angle_alpha 90.00
_cell_angle_beta 90.00
_cell_angle_gamma 90.00
_symmetry_space_group_name_H-M 'F m -3 m'
_symmetry_Int_Tables_number 225
_symmetry_space_group_name_Hall '-F 4 2 3'
loop_
_atom_site_label
_atom_site_fract_x
_atom_site_fract_y
_atom_site_fract_z
Ge1 0.000 0.000 0.000
Os1 0.250 0.250 0.250
S1 0.000 0.000 0.500
```

Summary:
- density (g/cm3) = 14.36
- total magnetization (μB/f.u.) = 0.000

---

Of them, the most stable is (i) and the least stable is (ii).

---

(i)
Compound: GeSb2Os2
Source: Alexandria
Functional: GGA-PBE
Structure: relaxed

```
data_GeSb2Os2
_chemical_formula_sum 'Ge2 Sb4 Os4'
_cell_length_a 7.778
_cell_length_b 7.778
_cell_length_c 3.086
_cell_angle_alpha 90.00
_cell_angle_beta 90.00
_cell_angle_gamma 90.00
_symmetry_space_group_name_H-M 'P 4/m b m'
_symmetry_Int_Tables_number 127
_symmetry_space_group_name_Hall '-P 4 2ab'
loop_
_atom_site_label
_atom_site_fract_x
_atom_site_fract_y
_atom_site_fract_z
Ge1 0.000 0.000 0.000
Sb1 0.153 0.347 0.500
Os1 0.141 0.641 0.000
```

Summary:
- density (g/cm3) = 12.39
- total magnetization (μB/f.u.) = 0.000

---

(ii)
Compound: GeSb2Os2
Source: Alexandria
Functional: GGA-PBE
Structure: relaxed

```
data_GeSb2Os2
_chemical_formula_sum 'Ge2 Sb4 Os4'
_cell_length_a 4.721
_cell_length_b 4.721
_cell_length_c 9.754
_cell_angle_alpha 90.00
_cell_angle_beta 90.00
_cell_angle_gamma 90.00
_symmetry_space_group_name_H-M 'I 4/m m m'
_symmetry_Int_Tables_number 139
_symmetry_space_group_name_Hall '-I 4 2'
loop_
_atom_site_label
_atom_site_fract_x
_atom_site_fract_y
_atom_site_fract_z
Ge1 0.000 0.000 0.000
Sb1 0.000 0.500 0.250
Os1 0.000 0.000 0.378
```

Summary:
- density (g/cm3) = 10.64
- total magnetization (μB/f.u.) = 0.000

---

Of them, the most stable is (i) and the least stable is (ii).

---

(i)
Compound: GeSbOs3
Source: Alexandria
Functional: GGA-PBE
Structure: relaxed

```
data_GeSbOs3
_chemical_formula_sum 'Ge1 Sb1 Os3'
_cell_length_a 4.853
_cell_length_b 4.853
_cell_length_c 4.853
_cell_angle_alpha 90.00
_cell_angle_beta 90.00
_cell_angle_gamma 90.00
_symmetry_space_group_name_H-M 'P m -3 m'
_symmetry_Int_Tables_number 221
_symmetry_space_group_name_Hall '-P 4 2 3'
loop_
_atom_site_label
_atom_site_fract_x
_atom_site_fract_y
_atom_site_fract_z
Ge1 0.000 0.000 0.000
Sb1 0.500 0.500 0.500
Os1 0.000 0.500 0.500
```

Summary:
- density (g/cm3) = 11.11
- total magnetization (μB/f.u.) = 1.416

---

(ii)
Compound: GeSbOs3
Source: Alexandria
Functional: GGA-PBE
Structure: relaxed

```
data_GeSbOs3
_chemical_formula_sum 'Ge1 Sb1 Os3'
_cell_length_a 4.583
_cell_length_b 4.583
_cell_length_c 4.583
_cell_angle_alpha 90.00
_cell_angle_beta 90.00
_cell_angle_gamma 90.00
_symmetry_space_group_name_H-M 'P m -3 m'
_symmetry_Int_Tables_number 221
_symmetry_space_group_name_Hall '-P 4 2 3'
loop_
_atom_site_label
_atom_site_fract_x
_atom_site_fract_y
_atom_site_fract_z
Ge1 0.000 0.000 0.000
Sb1 0.500 0.500 0.500
Os1 0.000 0.000 0.500
```

Summary:
- density (g/cm3) = 13.20
- total magnetization (μB/f.u.) = 0.000

---

Of them, the most stable is (ii) and the least stable is (i).

---

(i)
Compound: GeSb3Os
Source: Alexandria
Functional: GGA-PBE
Structure: relaxed

```
data_GeSb3Os
_chemical_formula_sum 'Ge1 Sb3 Os1'
_cell_length_a 5.157
_cell_length_b 5.157
_cell_length_c 5.157
_cell_angle_alpha 90.00
_cell_angle_beta 90.00
_cell_angle_gamma 90.00
_symmetry_space_group_name_H-M 'P m -3 m'
_symmetry_Int_Tables_number 221
_symmetry_space_group_name_Hall '-P 4 2 3'
loop_
_atom_site_label
_atom_site_fract_x
_atom_site_fract_y
_atom_site_fract_z
Ge1 0.000 0.000 0.000
Sb1 0.000 0.500 0.500
Os1 0.500 0.500 0.500
```

Summary:
- density (g/cm3) = 7.61
- total magnetization (μB/f.u.) = 0.000

---

(ii)
Compound: GeSb3Os
Source: Alexandria
Functional: GGA-PBE
Structure: relaxed

```
data_GeSb3Os
_chemical_formula_sum 'Ge1 Sb3 Os1'
_cell_length_a 5.147
_cell_length_b 5.147
_cell_length_c 5.147
_cell_angle_alpha 90.00
_cell_angle_beta 90.00
_cell_angle_gamma 90.00
_symmetry_space_group_name_H-M 'P m -3 m'
_symmetry_Int_Tables_number 221
_symmetry_space_group_name_Hall '-P 4 2 3'
loop_
_atom_site_label
_atom_site_fract_x
_atom_site_fract_y
_atom_site_fract_z
Ge1 0.000 0.000 0.000
Sb1 0.000 0.000 0.500
Os1 0.500 0.500 0.500
```

Summary:
- density (g/cm3) = 7.65
- total magnetization (μB/f.u.) = 1.726

---

Of them, the most stable is (i) and the least stable is (ii).

---

(i)
Compound: GeSbOs2
Source: Alexandria
Functional: GGA-PBE
Structure: relaxed

```
data_GeSbOs2
_chemical_formula_sum 'Ge4 Sb4 Os8'
_cell_length_a 5.694
_cell_length_b 5.694
_cell_length_c 11.623
_cell_angle_alpha 90.00
_cell_angle_beta 90.00
_cell_angle_gamma 90.00
_symmetry_space_group_name_H-M 'I -4 2 d'
_symmetry_Int_Tables_number 122
_symmetry_space_group_name_Hall 'I -4 2bw'
loop_
_atom_site_label
_atom_site_fract_x
_atom_site_fract_y
_atom_site_fract_z
Ge1 0.000 0.000 0.000
Sb1 0.000 0.000 0.500
Os1 0.225 0.250 0.125
```

Summary:
- density (g/cm3) = 10.13
- total magnetization (μB/f.u.) = 0.000

---

(ii)
Compound: GeSbOs2
Source: Alexandria
Functional: GGA-PBE
Structure: relaxed

```
data_GeSbOs2
_chemical_formula_sum 'Ge4 Sb4 Os8'
_cell_length_a 6.353
_cell_length_b 6.353
_cell_length_c 6.353
_cell_angle_alpha 90.00
_cell_angle_beta 90.00
_cell_angle_gamma 90.00
_symmetry_space_group_name_H-M 'F m -3 m'
_symmetry_Int_Tables_number 225
_symmetry_space_group_name_Hall '-F 4 2 3'
loop_
_atom_site_label
_atom_site_fract_x
_atom_site_fract_y
_atom_site_fract_z
Ge1 0.000 0.000 0.000
Sb1 0.000 0.000 0.500
Os1 0.250 0.250 0.250
```

Summary:
- density (g/cm3) = 14.89
- total magnetization (μB/f.u.) = 0.000

---

Of them, the most stable is (ii) and the least stable is (i).